Record 1
Crystalline Y2AlZn at its relaxed geometry. Source: Alexandria via LeMat-Bulk, functional PBE.

Output
ΔH_f (0 K) ... 0.1269 eV per atom
Space-group type ... F-43m, No. 216
Size of the total moment ... 0.00 μB/f.u.

a b c (Å): 5.1130 5.1130 5.1130
angles (deg): 60.00 60.00 60.00
Fractional positions:
Y: 0.0000 0.0000 0.0000
Y: 0.2500 0.2500 0.2500
Zn: 0.7500 0.7500 0.7500
Al: 0.5000 0.5000 0.5000



Record 2
Crystalline YAl2Zn at its relaxed geometry. Source: Alexandria via LeMat-Bulk, functional PBE.

Output
ΔH_f (0 K) ... -0.3745 eV per atom
Space-group type ... P4/mmm, No. 123
Size of the total moment ... 0.00 μB/f.u.

a b c (Å): 4.2543 4.2543 4.2697
angles (deg): 90.00 90.00 90.00
Fractional positions:
Y: 0.5000 0.0000 0.5000
Zn: 0.0000 0.5000 0.5000
Al: 0.0000 0.0000 0.0000
Al: 0.5000 0.5000 0.0000



Record 3
Crystalline YAl2Zn at its relaxed geometry. Source: Alexandria via LeMat-Bulk, functional PBE.

Output
ΔH_f (0 K) ... -0.2853 eV per atom
Space-group type ... R3m, No. 160
Size of the total moment ... 0.00 μB/f.u.

a b c (Å): 4.3008 4.3010 5.6789
angles (deg): 67.75 67.74 60.00
Fractional positions:
Y: 0.5052 0.5052 0.4840
Zn: 0.2872 0.2872 0.1381
Al: 0.9882 0.9882 0.0355
Al: 0.7194 0.7194 0.8424



Record 4
Crystalline YAl2Zn at its relaxed geometry. Source: Alexandria via LeMat-Bulk, functional PBE.

Output
ΔH_f (0 K) ... -0.1955 eV per atom
Space-group type ... Pmmm, No. 47
Size of the total moment ... 0.30 μB/f.u.

a b c (Å): 3.2117 3.5384 6.9575
angles (deg): 90.00 90.00 90.00
Last column: magnetic moment on the atom in μB.
Fractional positions:
Y: 0.5000 0.5000 0.2500  0.17
Zn: 0.5000 0.5000 0.7500  0.00
Al: 0.0000 0.0000 0.9480  0.00
Al: 0.0000 0.0000 0.5520  0.00